Record 1
{
  "formula": "MoBr2F",
  "functional": "GGA-PBEsol",
  "state": "relaxed",
  "lattice": [[3.3134, 0.0000, 0.0000], [1.6567, 2.8695, 0.0000], [1.6567, 0.9565, 8.2669]],
  "species": ["Br", "F", "Br", "Mo"],
  "frac_coords": [[0.0927, 0.0927, 0.7219], [0.5000, 0.5000, 0.5000], [0.9073, 0.9073, 0.2781], [0.0000, 0.0000, 0.0000]]
}

---

Record 2
{
  "formula": "KSrPt3",
  "functional": "GGA-PBEsol",
  "state": "relaxed",
  "formation_enthalpy_0k_ev_per_atom": 1.1821,
  "lattice": [[-0.3039, 4.4254, -2.9094], [-2.5581, -2.6743, -3.8007], [-4.6374, 1.1852, 2.2872]],
  "species": ["K", "Pt", "Pt", "Sr", "Pt"],
  "frac_coords": [[0.5000, 0.5000, 0.5000], [0.0000, 0.0000, 0.5000], [0.0000, 0.5000, 0.0000], [0.0000, 0.0000, 0.0000], [0.5000, 0.0000, 0.0000]]
}

---

Record 3
{
  "formula": "Li6TiB3O9",
  "functional": "GGA-PBEsol",
  "state": "relaxed",
  "lattice": [[-0.5644, 6.3989, 0.0697], [-5.8681, -2.2425, -2.9128], [-6.9178, -0.7685, 14.5281]],
  "species": ["O", "B", "B", "O", "Li", "Li", "Li", "O", "Ti", "O", "O", "Li", "O", "O", "O", "B", "B", "Li", "B", "O", "B", "O", "B", "Li", "Ti", "O", "Li", "Li", "Li", "Li", "O", "Li", "Li", "Li", "Ti", "O", "Li", "O", "B", "O", "O", "O", "O", "O", "Ti", "Li", "B", "Li", "Li", "O", "Li", "B", "B", "O", "Li", "O", "O", "O", "O", "O", "Li", "O", "O", "Li", "O", "O", "Li", "O", "B", "O", "Li", "Li", "O", "O", "O", "O"],
  "frac_coords": [[0.4238, 0.6082, 0.5815], [0.6935, 0.5637, 0.3819], [0.1563, 0.0874, 0.8621], [0.2402, 0.5913, 0.2016], [0.3194, 0.9290, 0.9932], [0.4476, 0.3076, 0.9665], [0.5937, 0.1286, 0.4437], [0.2244, 0.2676, 0.5708], [0.3406, 0.9182, 0.1840], [0.7402, 0.5913, 0.2984], [0.7756, 0.7324, 0.4292], [0.4512, 0.4193, 0.7928], [0.9185, 0.5374, 0.5921], [0.8168, 0.8936, 0.0537], [0.4361, 0.2410, 0.2071], [0.5018, 0.7222, 0.8747], [0.0018, 0.7222, 0.6253], [0.5488, 0.5807, 0.2072], [0.3437, 0.9126, 0.3621], [0.9491, 0.0154, 0.8323], [0.9982, 0.2778, 0.3747], [0.0815, 0.4626, 0.4079], [0.8065, 0.4363, 0.8819], [0.8341, 0.4724, 0.0330], [0.6594, 0.0818, 0.8160], [0.0509, 0.9846, 0.1677], [0.0524, 0.6924, 0.4665], [0.9512, 0.4193, 0.7072], [0.6806, 0.0710, 0.0068], [0.5524, 0.6924, 0.0335], [0.5509, 0.9846, 0.3323], [0.8629, 0.7328, 0.7923], [0.0937, 0.1286, 0.0563], [0.4063, 0.8714, 0.5563], [0.8406, 0.9182, 0.3160], [0.0762, 0.3918, 0.0815], [0.1659, 0.5276, 0.9670], [0.9238, 0.6082, 0.9185], [0.6563, 0.0874, 0.6379], [0.3168, 0.8936, 0.4463], [0.6832, 0.1064, 0.5537], [0.1749, 0.8773, 0.3060], [0.5639, 0.7590, 0.7929], [0.2756, 0.7324, 0.0708], [0.1594, 0.0818, 0.6840], [0.9063, 0.8714, 0.9437], [0.3065, 0.4363, 0.6181], [0.3629, 0.7328, 0.7077], [0.8194, 0.9290, 0.5068], [0.3251, 0.1227, 0.8060], [0.3341, 0.4724, 0.4670], [0.8437, 0.9126, 0.1379], [0.4982, 0.2778, 0.1253], [0.7244, 0.2676, 0.9292], [0.6659, 0.5276, 0.5330], [0.5762, 0.3918, 0.4185], [0.2598, 0.4087, 0.7016], [0.0417, 0.8936, 0.5776], [0.6749, 0.8773, 0.1940], [0.7598, 0.4087, 0.7984], [0.6371, 0.2672, 0.2923], [0.4185, 0.5374, 0.9079], [0.1832, 0.1064, 0.9463], [0.1371, 0.2672, 0.2077], [0.9361, 0.2410, 0.2929], [0.4583, 0.1064, 0.0776], [0.1806, 0.0710, 0.4932], [0.9583, 0.1064, 0.4224], [0.1935, 0.5637, 0.1181], [0.4491, 0.0154, 0.6677], [0.0488, 0.5807, 0.2928], [0.9476, 0.3076, 0.5335], [0.5815, 0.4626, 0.0921], [0.8251, 0.1227, 0.6940], [0.0639, 0.7590, 0.7071], [0.5417, 0.8936, 0.9224]]
}

---

Record 4
{
  "formula": "V2CoH4O8",
  "functional": "GGA-PBEsol",
  "state": "relaxed",
  "lattice": [[5.5864, 0.0000, 0.0000], [0.0000, 10.3167, 0.0000], [0.0000, 0.0000, 11.3987]],
  "species": ["H", "H", "O", "O", "H", "O", "Co", "H", "O", "O", "O", "O", "O", "V", "H", "H", "H", "O", "H", "O", "H", "O", "H", "V", "Co", "O", "V", "O", "O", "O", "O", "O", "H", "V", "O", "V", "Co", "O", "O", "Co", "O", "O", "H", "O", "V", "V", "O", "O", "O", "H", "O", "H", "O", "H", "O", "V", "O", "O", "O", "H"],
  "frac_coords": [[0.5943, 0.3260, 0.0998], [0.4057, 0.8260, 0.9002], [0.8089, 0.2500, 0.6230], [0.6371, 0.6269, 0.3608], [0.1528, 0.7500, 0.2930], [0.1371, 0.8731, 0.1392], [0.0201, 0.7500, 0.0381], [0.4057, 0.6740, 0.9002], [0.5206, 0.9318, 0.7953], [0.0882, 0.1243, 0.0626], [0.0882, 0.3757, 0.0626], [0.4794, 0.0682, 0.2047], [0.1338, 0.2500, 0.4509], [0.3298, 0.5302, 0.6725], [0.4538, 0.2500, 0.9280], [0.9057, 0.8260, 0.5998], [0.0943, 0.1740, 0.4002], [0.3629, 0.3731, 0.6392], [0.8472, 0.2500, 0.7070], [0.4794, 0.4318, 0.2047], [0.5943, 0.1740, 0.0998], [0.8629, 0.1269, 0.8608], [0.9057, 0.6740, 0.5998], [0.1702, 0.0302, 0.1725], [0.9799, 0.2500, 0.9619], [0.3629, 0.1269, 0.6392], [0.8298, 0.5302, 0.8275], [0.5206, 0.5682, 0.7953], [0.9794, 0.4318, 0.2953], [0.9118, 0.6243, 0.9374], [0.0206, 0.9318, 0.7047], [0.3662, 0.7500, 0.9509], [0.6528, 0.7500, 0.2070], [0.6702, 0.0302, 0.3275], [0.8662, 0.7500, 0.5491], [0.8298, 0.9698, 0.8275], [0.4799, 0.2500, 0.5381], [0.8629, 0.3731, 0.8608], [0.6371, 0.8731, 0.3608], [0.5201, 0.7500, 0.4619], [0.1371, 0.6269, 0.1392], [0.6338, 0.2500, 0.0491], [0.0462, 0.7500, 0.4280], [0.4118, 0.6243, 0.5626], [0.6702, 0.4698, 0.3275], [0.3298, 0.9698, 0.6725], [0.3089, 0.2500, 0.8770], [0.5882, 0.3757, 0.4374], [0.4118, 0.8757, 0.5626], [0.0943, 0.3260, 0.4002], [0.9118, 0.8757, 0.9374], [0.5462, 0.7500, 0.0720], [0.6911, 0.7500, 0.1230], [0.3472, 0.2500, 0.7930], [0.0206, 0.5682, 0.7047], [0.1702, 0.4698, 0.1725], [0.9794, 0.0682, 0.2953], [0.5882, 0.1243, 0.4374], [0.1911, 0.7500, 0.3770], [0.9538, 0.2500, 0.5720]]
}

---

Record 5
{
  "formula": "CaZrCd",
  "functional": "GGA-PBEsol",
  "state": "relaxed",
  "de_polymorph_mev_per_atom": 155,
  "formation_enthalpy_0k_ev_per_atom": 0.1956,
  "lattice": [[-2.4932, -0.5210, 1.9294], [0.7495, -5.0576, -0.3973], [2.3262, 2.6522, 3.7220]],
  "species": ["Zr", "Cd", "Ca"],
  "frac_coords": [[0.4016, 0.6667, 0.3333], [0.6127, 0.3333, 0.6667], [0.9857, 0.0000, 0.0000]]
}

---

Record 6
{
  "formula": "RbTiPS5",
  "functional": "GGA-PBEsol",
  "state": "relaxed",
  "lattice": [[-2.5118, -3.0290, -5.8121], [2.5898, -9.2794, -0.5213], [-11.6227, -5.4191, 3.6090]],
  "species": ["S", "S", "P", "S", "Rb", "S", "S", "S", "S", "S", "Ti", "S", "S", "Rb", "S", "Rb", "S", "Ti", "S", "S", "P", "S", "S", "Rb", "S", "P", "Ti", "Ti", "S", "S", "S", "P"],
  "frac_coords": [[0.7873, 0.0390, 0.3864], [0.7683, 0.1503, 0.8400], [0.9242, 0.2550, 0.8965], [0.5597, 0.3234, 0.5572], [0.7008, 0.9538, 0.6445], [0.5894, 0.6342, 0.6575], [0.1114, 0.8289, 0.9482], [0.4403, 0.6766, 0.4428], [0.8812, 0.3658, 0.3425], [0.8240, 0.4740, 0.8780], [0.2227, 0.5000, 0.5000], [0.0237, 0.3617, 0.5910], [0.2317, 0.8497, 0.1600], [0.6649, 0.5367, 0.1335], [0.6088, 0.8724, 0.9101], [0.3351, 0.4633, 0.8665], [0.1760, 0.5260, 0.1220], [0.7250, 0.0000, 0.0000], [0.2414, 0.1503, 0.8400], [0.3912, 0.1276, 0.0899], [0.0758, 0.7450, 0.1035], [0.7586, 0.8497, 0.1600], [0.2127, 0.9610, 0.6136], [0.2992, 0.0462, 0.3555], [0.4106, 0.3658, 0.3425], [0.3295, 0.7446, 0.5963], [0.7773, 0.5000, 0.5000], [0.2750, 0.0000, 0.0000], [0.8886, 0.1711, 0.0518], [0.9763, 0.6383, 0.4090], [0.1188, 0.6342, 0.6575], [0.6705, 0.2554, 0.4037]]
}

---

Record 7
{
  "formula": "K2NaScCl6",
  "functional": "GGA-PBEsol",
  "state": "relaxed",
  "lattice": [[7.2372, 0.0000, 0.0000], [3.6186, 6.2676, 0.0000], [3.6186, 2.0892, 5.9091]],
  "species": ["Cl", "Sc", "Cl", "Cl", "Na", "Cl", "K", "K", "Cl", "Cl"],
  "frac_coords": [[0.7600, 0.2400, 0.2400], [0.0000, 0.0000, 0.0000], [0.7600, 0.2400, 0.7600], [0.7600, 0.7600, 0.2400], [0.5000, 0.5000, 0.5000], [0.2400, 0.2400, 0.7600], [0.7500, 0.7500, 0.7500], [0.2500, 0.2500, 0.2500], [0.2400, 0.7600, 0.7600], [0.2400, 0.7600, 0.2400]]
}

---

Record 8
{
  "formula": "InFe2Se",
  "functional": "GGA-PBEsol",
  "state": "relaxed",
  "de_polymorph_mev_per_atom": 129,
  "lattice": [[2.9408, 0.0000, 0.0000], [1.4704, 4.9384, 0.0113], [1.4704, 2.0908, 4.4740]],
  "species": ["Se", "Fe", "In", "Fe"],
  "frac_coords": [[0.0000, 0.5000, 0.5000], [0.7276, 0.2724, 0.2724], [0.5000, 0.0000, 0.0000], [0.2724, 0.7276, 0.7276]]
}

---

Record 9
{
  "formula": "KTaB3",
  "functional": "GGA-PBEsol",
  "state": "relaxed",
  "formation_enthalpy_0k_ev_per_atom": 1.2154,
  "lattice": [[-4.1496, 0.9570, 1.1438], [-1.0873, -4.2561, -0.3838], [1.0207, -0.6432, 4.2412]],
  "species": ["Ta", "K", "B", "B", "B"],
  "frac_coords": [[0.0000, 0.0000, 0.0000], [0.5000, 0.5000, 0.5000], [0.5000, 0.0000, 0.0000], [0.0000, 0.5000, 0.0000], [0.0000, 0.0000, 0.5000]]
}

---

Record 10
{
  "formula": "HfSeBr2",
  "functional": "GGA-PBEsol",
  "state": "relaxed",
  "lattice": [[-1.4228, -2.9356, 0.1630], [1.8323, -2.6900, 0.2743], [-0.2933, -1.0681, 10.9299]],
  "species": ["Br", "Se", "Hf", "Br"],
  "frac_coords": [[0.8923, 0.8923, 0.3231], [0.0000, 0.0000, 0.0000], [0.5000, 0.5000, 0.5000], [0.1077, 0.1077, 0.6769]]
}

---

Record 11
{
  "formula": "Li2Ni3SnO8",
  "functional": "GGA-PBEsol",
  "state": "relaxed",
  "de_polymorph_mev_per_atom": 12,
  "lattice": [[-4.8226, -0.4299, 3.0736], [-3.1042, -4.8681, -0.2012], [2.4736, -5.2557, 8.4964]],
  "species": ["Ni", "O", "O", "Ni", "Li", "Sn", "Ni", "O", "O", "O", "O", "Sn", "O", "O", "O", "O", "O", "O", "Li", "O", "Li", "O", "O", "Ni", "Ni", "Ni", "Li", "O"],
  "frac_coords": [[0.5000, 0.0000, 0.0000], [0.3573, 0.8955, 0.8886], [0.6427, 0.1045, 0.1114], [0.0000, 0.5000, 0.5000], [0.4392, 0.4433, 0.1785], [0.7501, 0.7500, 0.2500], [0.5000, 0.5000, 0.5000], [0.8613, 0.8801, 0.8969], [0.6044, 0.1452, 0.6062], [0.8557, 0.8550, 0.3940], [0.1387, 0.1199, 0.1031], [0.2499, 0.2500, 0.7500], [0.6443, 0.6452, 0.1062], [0.8585, 0.3955, 0.3886], [0.3956, 0.8548, 0.3938], [0.6383, 0.6199, 0.6031], [0.1415, 0.6045, 0.6114], [0.3557, 0.3548, 0.8938], [0.9389, 0.9433, 0.6785], [0.1443, 0.1450, 0.6060], [0.0611, 0.0567, 0.3215], [0.8954, 0.3550, 0.8940], [0.3617, 0.3801, 0.3969], [0.5000, 0.0000, 0.5000], [0.0000, 0.0000, 0.0000], [0.0000, 0.5000, 0.0000], [0.5608, 0.5567, 0.8215], [0.1046, 0.6450, 0.1060]]
}

---

Record 12
{
  "formula": "MgAgRh",
  "functional": "GGA-PBEsol",
  "state": "relaxed",
  "de_polymorph_mev_per_atom": 0,
  "formation_enthalpy_0k_ev_per_atom": -0.1113,
  "lattice": [[3.1984, 0.0000, 0.0000], [0.0000, 3.1984, 0.0000], [-1.5992, -1.5992, 4.5906]],
  "species": ["Ag", "Mg", "Rh"],
  "frac_coords": [[0.9990, 0.9990, 0.9981], [0.6756, 0.6756, 0.3512], [0.3253, 0.3253, 0.6507]]
}

---

Record 13
{
  "formula": "KCuW2",
  "functional": "GGA-PBEsol",
  "state": "relaxed",
  "de_polymorph_mev_per_atom": 0,
  "formation_enthalpy_0k_ev_per_atom": 1.0654,
  "lattice": [[2.5995, 0.0000, 0.0000], [-1.2997, 4.3648, 0.0009], [0.0000, -0.2727, 7.4610]],
  "species": ["Cu", "K", "W", "W"],
  "frac_coords": [[0.4909, 0.9818, 0.4068], [0.2437, 0.4873, 0.7411], [0.7573, 0.5145, 0.2594], [0.0082, 0.0164, 0.0926]]
}

---

Record 14
{
  "formula": "TiInSiCl2",
  "functional": "GGA-PBEsol",
  "state": "relaxed",
  "lattice": [[-4.7986, 0.1180, 0.6802], [0.6177, -1.3996, 4.6003], [0.3746, 5.6374, 1.6648]],
  "species": ["Cl", "In", "Cl", "Ti", "Si"],
  "frac_coords": [[0.5000, 0.0000, 0.0000], [0.0000, 0.0000, 0.0000], [0.0000, 0.5000, 0.0000], [0.0000, 0.0000, 0.5000], [0.5000, 0.5000, 0.5000]]
}

---

Record 15
{
  "formula": "TbInPd",
  "functional": "GGA-PBEsol",
  "state": "relaxed",
  "formation_enthalpy_0k_ev_per_atom": -0.8456,
  "lattice": [[3.8468, 0.0000, 0.0000], [0.0000, 7.5538, 0.0000], [0.0000, -3.7769, 6.5418]],
  "species": ["In", "In", "Pd", "Pd", "Pd", "In", "Tb", "Tb", "Tb"],
  "frac_coords": [[0.0000, 0.0000, 0.2577], [0.0000, 0.2577, 0.0000], [0.5000, 0.0000, 0.0000], [0.0000, 0.6667, 0.3333], [0.0000, 0.3333, 0.6667], [0.0000, 0.7423, 0.7423], [0.5000, 0.0000, 0.5907], [0.5000, 0.4093, 0.4093], [0.5000, 0.5907, 0.0000]]
}

---

Record 16
{
  "formula": "Tb2ZnCu",
  "functional": "GGA-PBEsol",
  "state": "relaxed",
  "formation_enthalpy_0k_ev_per_atom": -0.2725,
  "lattice": [[3.4774, 0.0000, 0.0000], [0.0000, 3.4774, 0.0000], [0.0000, 0.0000, 6.8783]],
  "species": ["Cu", "Tb", "Zn", "Tb"],
  "frac_coords": [[0.0000, 0.0000, 0.0000], [0.5000, 0.5000, 0.2436], [0.0000, 0.0000, 0.5000], [0.5000, 0.5000, 0.7564]]
}

---

Record 17
{
  "formula": "Cd2MoW",
  "functional": "GGA-PBEsol",
  "state": "relaxed",
  "de_polymorph_mev_per_atom": 0,
  "formation_enthalpy_0k_ev_per_atom": 0.4620,
  "lattice": [[2.7391, 0.0000, 0.0000], [0.0000, 2.7391, 0.0000], [0.0000, 0.0000, 9.2333]],
  "species": ["Cd", "Mo", "Cd", "W"],
  "frac_coords": [[0.5000, 0.5000, 0.2598], [0.0000, 0.0000, 0.5046], [0.0000, 0.0000, 0.9907], [0.5000, 0.5000, 0.7449]]
}

---

Record 18
{
  "formula": "TeBrO2",
  "functional": "GGA-PBEsol",
  "state": "relaxed",
  "de_polymorph_mev_per_atom": 704,
  "lattice": [[-2.1718, 1.9414, -3.0786], [-0.3434, -1.8103, -3.8168], [-3.7265, -1.5651, -1.2756]],
  "species": ["O", "O", "Br", "Te"],
  "frac_coords": [[0.7500, 0.7500, 0.7500], [0.2500, 0.2500, 0.2500], [0.0000, 0.0000, 0.0000], [0.5000, 0.5000, 0.5000]]
}

---

Record 19
{
  "formula": "ScZnSi2",
  "functional": "GGA-PBEsol",
  "state": "relaxed",
  "lattice": [[-2.0436, 0.8487, -1.9922], [-2.1623, -1.8806, -0.8082], [-6.2844, 2.5818, 5.3215]],
  "species": ["Zn", "Si", "Sc", "Si"],
  "frac_coords": [[0.5000, 0.5000, 0.5000], [0.7541, 0.7541, 0.7376], [0.0000, 0.0000, 0.0000], [0.2459, 0.2459, 0.2624]]
}

---

| no. | calculated total energy (eV per atom) |
| --- | --- |
| 1 | -4.169 |
| 2 | -3.591 |
| 3 | -6.979 |
| 4 | -7.070 |
| 5 | -3.944 |
| 6 | -5.580 |
| 7 | -4.230 |
| 8 | -5.797 |
| 9 | -5.731 |
| 10 | -5.050 |
| 11 | -6.170 |
| 12 | -4.500 |
| 13 | -7.205 |
| 14 | -3.449 |
| 15 | -5.496 |
| 16 | -4.257 |
| 17 | -6.530 |
| 18 | -3.545 |
| 19 | -4.964 |